Entry 1:
# AlRh2Au

An optimized crystal structure of AlRh2Au (PBE, Alexandria via LeMat-Bulk).

## Properties
* spin magnetization: 0.00 μB/f.u.
* VASP energy: -5.717 eV per atom
* energy of formation: -0.2863 eV per atom

a b c (Å): 2.824 3.733 5.742
angles (deg): 90.00 90.27 90.00
Space group Pm (No. 6)
Asymmetric unit:
Al: 0.000 0.000 0.000 x1
Rh: 0.002 0.000 0.457 x1
Rh: 0.499 0.500 0.213 x1
Au: 0.503 0.500 0.727 x1


Entry 2:
# HoZnSn

An optimized crystal structure of HoZnSn (PBE, Alexandria via LeMat-Bulk).

## Properties
* spin magnetization: 0.00 μB/f.u.
* VASP energy: -3.579 eV per atom
* energy of formation: -0.2941 eV per atom

a b c (Å): 3.470 3.470 11.530
angles (deg): 90.00 90.00 90.00
Space group I4mm (No. 107)
Asymmetric unit:
Ho: 0.000 0.000 0.000 x2
Zn: 0.000 0.000 0.658 x2
Sn: 0.000 0.000 0.304 x2


Entry 3:
# ZrCu2AsSe

An optimized crystal structure of ZrCu2AsSe (PBE, Alexandria via LeMat-Bulk).

## Properties
* spin magnetization: 0.00 μB/f.u.
* formation energy from raw total energies: 1038 meV/atom
* VASP energy: -3.937 eV per atom

a b c (Å): 4.954 4.954 5.167
angles (deg): 90.00 90.00 90.00
Space group P4/mmm (No. 123)
Asymmetric unit:
Zr: 0.000 0.000 0.000 x1
Cu: 0.000 0.500 0.000 x2
As: 0.000 0.000 0.500 x1
Se: 0.500 0.500 0.500 x1


Entry 4:
# YW3

An optimized crystal structure of YW3 (PBE, Alexandria via LeMat-Bulk).

## Properties
* spin magnetization: 0.00 μB/f.u.
* E above lowest polymorph: 0.147 eV per atom
* VASP energy: -10.797 eV per atom
* energy of formation: 0.5340 eV per atom

a b c (Å): 9.4501 9.4501 2.8016
angles (deg): 90.00 90.00 120.00
Space group R-3m (No. 166, hexagonal axes)
Asymmetric unit:
Y: 0.0000 0.0000 0.0000 x3
W: 0.0000 0.5000 0.0000 x9


Entry 5:
# BeSbAsI2

An optimized crystal structure of BeSbAsI2 (PBE, Alexandria via LeMat-Bulk).

## Properties
* spin magnetization: 0.00 μB/f.u.
* formation energy from raw total energies: 590 meV/atom
* E above lowest polymorph: 0.000 eV per atom
* VASP energy: -2.529 eV per atom

a b c (Å): 5.055 5.055 5.179
angles (deg): 90.00 90.00 90.00
Space group P4/mmm (No. 123)
Asymmetric unit:
Be: 0.000 0.000 0.000 x1
Sb: 0.000 0.000 0.500 x1
As: 0.500 0.500 0.500 x1
I: 0.000 0.500 0.000 x2


Entry 6:
# MgH3Rh

An optimized crystal structure of MgH3Rh (PBE, Alexandria via LeMat-Bulk).

## Properties
* spin magnetization: 0.00 μB/f.u.
* VASP energy: -4.011 eV per atom

a b c (Å): 3.330 4.787 5.221
angles (deg): 90.00 91.22 90.00
Space group P2_1/m (No. 11)
Asymmetric unit:
Mg: 0.246 0.250 0.348 x2
H: 0.247 0.750 0.439 x2
H: 0.274 0.025 0.859 x4
Rh: 0.269 0.750 0.108 x2


Repeat the fourth record exactly.
# YW3

An optimized crystal structure of YW3 (PBE, Alexandria via LeMat-Bulk).

## Properties
* spin magnetization: 0.00 μB/f.u.
* E above lowest polymorph: 0.147 eV per atom
* VASP energy: -10.797 eV per atom
* energy of formation: 0.5340 eV per atom

a b c (Å): 9.4501 9.4501 2.8016
angles (deg): 90.00 90.00 120.00
Space group R-3m (No. 166, hexagonal axes)
Asymmetric unit:
Y: 0.0000 0.0000 0.0000 x3
W: 0.0000 0.5000 0.0000 x9


Copy entry 4 word for word.
# YW3

An optimized crystal structure of YW3 (PBE, Alexandria via LeMat-Bulk).

## Properties
* spin magnetization: 0.00 μB/f.u.
* E above lowest polymorph: 0.147 eV per atom
* VASP energy: -10.797 eV per atom
* energy of formation: 0.5340 eV per atom

a b c (Å): 9.4501 9.4501 2.8016
angles (deg): 90.00 90.00 120.00
Space group R-3m (No. 166, hexagonal axes)
Asymmetric unit:
Y: 0.0000 0.0000 0.0000 x3
W: 0.0000 0.5000 0.0000 x9


> What is the formula in the fourth record?

YW3